This record from Alexandria describes a relaxed VP2O7 crystal. The functional is PBE with a Hubbard U.

Cell: 8.685 5.205 13.440 Å, 90.00 117.27 90.00°
Space group P2_1/c (No. 14)
One atom of each set of equivalent atoms:
V  0.232  0.245  0.469 x4
P  0.190  0.733  0.616 x4
P  0.333  0.741  0.863 x4
O  0.012  0.723  0.112 x4
O  0.209  0.043  0.085 x4
O  0.228  0.546  0.380 x4
O  0.233  0.570  0.050 x4
O  0.260  0.029  0.359 x4
O  0.330  0.719  0.244 x4
O  0.475  0.235  0.053 x4

Calculated values
As for the polymorph energy (0 for the lowest one): 0 meV/atom.